(1)
DFT (PBE-GGA) results for crystalline CrTcPb2 at its relaxed geometry.

Lattice parameters (Å, degrees): 4.2502 3.6287 5.4898 70.73 90.00 90.00
Fractional coordinates of all 4 atoms:
1 Pb 0.5000 0.2826 0.3095
2 Pb 0.0000 0.9676 0.9401
3 Tc 0.0000 0.6819 0.5113
4 Cr 0.5000 0.5680 0.7392

## Properties
* space-group type: Amm2, No. 38
* total energy: -25.06 eV for the cell shown


(2)
DFT (PBE-GGA) results for crystalline Pm3TlH at its relaxed geometry.

Lattice parameters (Å, degrees): 5.8462 7.3071 6.9515 90.00 90.00 121.23
Fractional coordinates of all 10 atoms:
1 Pm 0.8150 0.2322 0.9838
2 Pm 0.8150 0.2322 0.5162
3 Pm 0.3838 0.3481 0.2500
4 Pm 0.6162 0.6519 0.7500
5 Pm 0.1850 0.7678 0.0162
6 Pm 0.1850 0.7678 0.4838
7 Tl 0.7517 0.8514 0.2500
8 Tl 0.2483 0.1486 0.7500
9 H 0.9350 0.5419 0.7500
10 H 0.0650 0.4581 0.2500

## Properties
* space-group type: P2_1/m, No. 11
* total energy: -42.58 eV for the cell shown


(3)
DFT (PBE-GGA) results for crystalline Ho3ErFe8 at its relaxed geometry.

Lattice parameters (Å, degrees): 5.1123 5.1123 8.8337 73.18 73.18 60.00
Site moments in Bohr magnetons follow the coordinates.
Fractional coordinates of all 12 atoms:
1 Fe 0.1876 0.1876 0.4373  1.91
2 Fe 0.9375 0.9375 0.6871  1.95
3 Fe 0.4374 0.9372 0.1880  1.95
4 Fe 0.9375 0.4379 0.6871  1.95
5 Fe 0.6874 0.6874 0.9377  1.92
6 Fe 0.9372 0.4374 0.1880  1.95
7 Fe 0.4379 0.9375 0.6871  1.95
8 Fe 0.4374 0.4374 0.1880  1.95
9 Ho 0.3750 0.3750 0.8749  -0.57
10 Ho 0.9999 0.9999 0.0002  -0.57
11 Ho 0.5001 0.5001 0.4998  -0.57
12 Er 0.8750 0.8750 0.3750  -0.59

## Properties
* space-group type: R3m, No. 160
* total energy: -87.27 eV for the cell shown


(4)
DFT (PBE-GGA) results for crystalline LaTlCl2 at its relaxed geometry.

Lattice parameters (Å, degrees): 10.4521 10.4521 10.4521 20.73 20.73 20.73
Site moments in Bohr magnetons follow the coordinates.
Fractional coordinates of all 4 atoms:
1 La 0.2500 0.2500 0.2500  0.23
2 Cl 0.5196 0.5196 0.5196  0.01
3 Cl 0.9804 0.9804 0.9804  0.01
4 Tl 0.7500 0.7500 0.7500  0.02

## Properties
* space-group type: R-3m, No. 166
* formation energy (no corrections): -543 kJ/mol of formula units


(5)
DFT (PBE-GGA) results for crystalline NaMnBeS3 at its relaxed geometry.

Lattice parameters (Å, degrees): 3.4246 7.7024 8.3232 111.57 90.00 90.00
Fractional coordinates of all 12 atoms:
1 Be 0.7500 0.9088 0.3958
2 Be 0.2500 0.0912 0.6042
3 Mn 0.2500 0.6305 0.1145
4 Mn 0.7500 0.3695 0.8855
5 S 0.7500 0.4598 0.1623
6 S 0.2500 0.1488 0.8634
7 S 0.7500 0.2078 0.5365
8 S 0.7500 0.8512 0.1366
9 S 0.2500 0.7922 0.4635
10 S 0.2500 0.5402 0.8377
11 Na 0.2500 0.1865 0.2282
12 Na 0.7500 0.8135 0.7718

## Properties
* space-group type: P2_1/m, No. 11
* formation energy (no corrections): -452 kJ/mol of formula units


(6)
DFT (PBE-GGA) results for crystalline Ca2AlGa2 at its relaxed geometry.

Lattice parameters (Å, degrees): 4.4577 5.9965 9.8412 83.14 76.91 68.18
Fractional coordinates of all 10 atoms:
1 Ga 0.0177 0.8507 0.1139
2 Ga 0.8617 0.7185 0.5581
3 Ga 0.9823 0.1493 0.8861
4 Ga 0.1383 0.2815 0.4419
5 Ca 0.4985 0.6756 0.3273
6 Ca 0.6880 0.7298 0.8942
7 Ca 0.5015 0.3244 0.6727
8 Ca 0.3120 0.2702 0.1058
9 Al 0.2192 0.9164 0.6452
10 Al 0.7808 0.0836 0.3548

## Properties
* space-group type: C2/m, No. 12
* total energy: -32.09 eV for the cell shown